1.
DFT (PBE) results for crystalline Fe3Pb4 at its relaxed geometry.

```
Fe3Pb4
1.0
-4.0083 3.5929 -0.2903
-0.6160 -4.4962 2.9094
2.2245 2.8794 4.9208
Fe Pb
3 4
direct
0.0000 0.5000 0.0000 Fe
0.5000 0.5000 0.0000 Fe
0.5000 0.0000 0.0000 Fe
0.0000 0.0000 0.7589 Pb
0.3333 0.6667 0.5000 Pb
0.6667 0.3333 0.5000 Pb
0.0000 0.0000 0.2411 Pb
```

Properties
Its symmetry is P6/mmm. For the calculated total energy, the calculation gives -5.234 eV per atom. The calculation puts the calculated formation energy at 0.512 eV/atom.



2.
DFT (PBE) results for crystalline Fe4Pb5 at its relaxed geometry.

```
Fe4Pb5
1.0
8.7721 0.0000 0.0000
-4.3860 7.5969 0.0000
0.0000 0.0000 5.8594
Fe Pb
8 10
direct
0.4234 0.4234 0.7500 Fe
0.0000 0.0000 0.5000 Fe
0.0000 0.4234 0.2500 Fe
0.0000 0.0000 0.0000 Fe
0.5766 0.0000 0.7500 Fe
0.5766 0.5766 0.2500 Fe
0.4234 0.0000 0.2500 Fe
0.0000 0.5766 0.7500 Fe
0.6667 0.3333 0.0000 Pb
0.3333 0.6667 0.5000 Pb
0.3333 0.6667 0.0000 Pb
0.0000 0.7334 0.2500 Pb
0.2666 0.0000 0.7500 Pb
0.7334 0.7334 0.7500 Pb
0.7334 0.0000 0.2500 Pb
0.0000 0.2666 0.7500 Pb
0.6667 0.3333 0.5000 Pb
0.2666 0.2666 0.2500 Pb
```

Properties
Its symmetry is P6_3/mcm. For the calculated total energy, the calculation gives -5.148 eV per atom. The calculation puts the calculated formation energy at 0.673 eV/atom.



3.
DFT (PBE) results for crystalline Fe5Pb4 at its relaxed geometry.

```
Fe5Pb4
1.0
-4.7441 4.7441 2.0372
4.7441 -4.7441 2.0372
4.7441 4.7441 -2.0372
Fe Pb
5 4
direct
0.6242 0.3758 0.0000 Fe
0.0000 0.0000 0.0000 Fe
0.3758 0.6242 0.0000 Fe
0.6242 0.6242 0.2485 Fe
0.3758 0.3758 0.7515 Fe
0.7019 0.0000 0.7019 Pb
0.0000 0.7019 0.7019 Pb
0.2981 0.0000 0.2981 Pb
0.0000 0.2981 0.2981 Pb
```

Properties
Its symmetry is I4/mmm. For the calculated total energy, the calculation gives -5.907 eV per atom. The calculation puts the calculated formation energy at 0.442 eV/atom.



4.
DFT (PBE) results for crystalline Fe4Pb at its relaxed geometry.

```
Fe4Pb
1.0
1.2044 -4.2917 3.7670
3.3476 0.5295 4.7511
-4.4356 2.5457 -2.8114
Fe Pb
4 1
direct
0.6153 0.6153 0.0000 Fe
0.7500 0.2500 0.5000 Fe
0.3847 0.3847 0.0000 Fe
0.2500 0.7500 0.5000 Fe
0.0000 0.0000 0.0000 Pb
```

Properties
Its symmetry is I4/mmm. For the calculated total energy, the calculation gives -6.980 eV per atom. The calculation puts the calculated formation energy at 0.532 eV/atom.